The following is a PBEsol calculation of crystalline CoHSCl2 at its relaxed geometry, from Alexandria.

a = 4.684 Å, b = 4.684 Å, c = 4.094 Å
α = 90.00°, β = 90.00°, γ = 90.00°
Atoms (fractional coordinates):
Co  0.000  0.000  0.000
H  0.500  0.500  0.500
S  0.000  0.000  0.500
Cl  0.000  0.500  0.000
Cl  0.500  0.000  0.000

Output
E: -3.443 eV/atom
symmetry: P4/mmm (123)
crystal system: tetragonal

=====

The following is a PBEsol calculation of crystalline HfCo3Cl at its relaxed geometry, from Alexandria.

a = 4.587 Å, b = 4.587 Å, c = 4.587 Å
α = 90.00°, β = 90.00°, γ = 90.00°
Atoms (fractional coordinates):
Hf  0.000  0.000  0.000
Co  0.000  0.000  0.500
Co  0.000  0.500  0.000
Co  0.500  0.000  0.000
Cl  0.500  0.500  0.500

Output
E: -5.528 eV/atom
energy relative to the elements, uncorrected: 780 kJ/mol of formula units
symmetry: Pm-3m (221)
crystal system: cubic

=====

The following is a PBEsol calculation of crystalline HfCoOs2Cl at its relaxed geometry, from Alexandria.

a = 4.273 Å, b = 4.273 Å, c = 4.515 Å
α = 90.00°, β = 90.00°, γ = 90.00°
Atoms (fractional coordinates):
Hf  0.000  0.000  0.000
Co  0.500  0.500  0.000
Os  0.000  0.500  0.500
Os  0.500  0.000  0.500
Cl  0.000  0.000  0.500

Output
E: -7.618 eV/atom
energy relative to the elements, uncorrected: 636 kJ/mol of formula units
symmetry: P4/mmm (123)
crystal system: tetragonal

=====

The following is a PBEsol calculation of crystalline HfCoSi2Cl at its relaxed geometry, from Alexandria.

a = 4.258 Å, b = 4.258 Å, c = 4.682 Å
α = 90.00°, β = 90.00°, γ = 90.00°
Atoms (fractional coordinates):
Hf  0.000  0.000  0.000
Co  0.500  0.500  0.500
Si  0.000  0.500  0.500
Si  0.500  0.000  0.500
Cl  0.500  0.500  0.000

Output
E: -6.016 eV/atom
energy relative to the elements, uncorrected: 160 kJ/mol of formula units
symmetry: P4/mmm (123)
crystal system: tetragonal

=====

The following is a PBEsol calculation of crystalline CoHg2Cl2 at its relaxed geometry, from Alexandria.

a = 6.755 Å, b = 6.755 Å, c = 6.755 Å
α = 142.04°, β = 142.04°, γ = 54.77°
Atoms (fractional coordinates):
Co  0.000  0.000  0.000
Hg  0.391  0.391  0.000
Hg  0.609  0.609  0.000
Cl  0.250  0.750  0.500
Cl  0.750  0.250  0.500

Output
E: -1.977 eV/atom
energy relative to the elements, uncorrected: 290 kJ/mol of formula units
symmetry: I4/mmm (139)
crystal system: tetragonal

=====

The following is a PBEsol calculation of crystalline CoHgCl2 at its relaxed geometry, from Alexandria.

a = 9.081 Å, b = 9.081 Å, c = 9.081 Å
α = 21.18°, β = 21.18°, γ = 21.18°
Atoms (fractional coordinates):
Co  0.000  0.000  0.000
Hg  0.500  0.500  0.500
Cl  0.281  0.281  0.281
Cl  0.719  0.719  0.719

Output
E: -3.418 eV/atom
excess energy over the best structure of this formula in the dataset: 0.00 eV per formula unit
energy relative to the elements, uncorrected: -130 kJ/mol of formula units
symmetry: R-3m (166)
crystal system: trigonal